Entry 1:
A plane-wave DFT calculation with PBE-GGA was carried out for Cs2K4Rb3 after structural relaxation.

Lattice parameters (Å, degrees): 6.2490 8.8727 15.7881 73.82 78.59 69.38
Positions (direct):
Cs1 0.6678 0.8874 0.7770
K1 0.6641 0.5637 0.1081
Rb1 0.6581 0.2330 0.4508
K2 0.9926 0.3449 0.6699
Cs2 0.3322 0.1126 0.2230
Rb2 0.3419 0.7670 0.5492
K3 0.3359 0.4363 0.8919
K4 0.0074 0.6551 0.3301
Rb3 0.0000 0.0000 0.0000

Properties
The value obtained for the total magnetic moment is 0.000 μB per atom. The energy above the most stable polymorph in this dataset comes out at 0.000 eV per atom. The electronic total energy comes out at -0.99 eV per atom.

***

Entry 2:
A plane-wave DFT calculation with PBE-GGA was carried out for Cs2K2Rb after structural relaxation.

Lattice parameters (Å, degrees): 8.0427 8.0427 9.3616 90.21 115.06 120.18
Positions (direct):
Cs1 0.4186 0.2090 0.6276
K1 0.8084 0.4043 0.2126
Rb1 0.0000 0.0000 0.0000
Cs2 0.5814 0.7910 0.3724
K2 0.1916 0.5957 0.7874

Properties
The value obtained for the total magnetic moment is 0.000 μB per atom. The energy above the most stable polymorph in this dataset comes out at 0.000 eV per atom. The electronic total energy comes out at -0.97 eV per atom.

***

Entry 3:
A plane-wave DFT calculation with PBE-GGA was carried out for Cs5K5Rb2 after structural relaxation.

Lattice parameters (Å, degrees): 8.1029 9.3265 23.2947 130.48 90.00 115.75
Positions (direct):
K1 0.8034 0.6069 0.4917
Cs1 0.5000 0.0000 0.5000
Cs2 0.6595 0.3191 0.9972
Rb1 0.0791 0.1583 0.2499
Cs3 0.2258 0.4516 0.7314
Rb2 0.9209 0.8417 0.7501
K2 0.1966 0.3931 0.5083
K3 0.5867 0.1735 0.7551
K4 0.4133 0.8265 0.2449
Cs4 0.3405 0.6809 0.0028
Cs5 0.7742 0.5484 0.2686
K5 0.0000 0.0000 0.0000

Properties
The value obtained for the total magnetic moment is 0.000 μB per atom. The electronic total energy comes out at -0.97 eV per atom.